Entry 1:
Crystalline BaAs2Br at its relaxed geometry. Source: the Alexandria database, functional PBE.

Cell lengths 6.2650, 6.2650, 6.2650 Å; angles 48.18, 48.18, 48.18 degrees
Element x y z (fractional)
Br 0.7500 0.7500 0.7500
Ba 0.2500 0.2500 0.2500
As 0.0590 0.0590 0.0590
As 0.4410 0.4410 0.4410

* Fermi-level density of states: 1.452 states/eV per cell
* space group: R-3m, No. 166
* crystal system: trigonal

Entry 2:
Crystalline Ba3AsBr at its relaxed geometry. Source: the Alexandria database, functional PBE.

Cell lengths 6.3976, 6.3976, 6.3976 Å; angles 90.00, 90.00, 90.00 degrees
Element x y z (fractional)
As 0.0000 0.0000 0.0000
Br 0.5000 0.5000 0.5000
Ba 0.0000 0.5000 0.0000
Ba 0.5000 0.0000 0.0000
Ba 0.0000 0.0000 0.5000

* Fermi-level density of states: 5.492 states/eV per cell
* space group: Pm-3m, No. 221
* crystal system: cubic

Entry 3:
Crystalline BaAs2Br at its relaxed geometry. Source: the Alexandria database, functional PBE.

Cell lengths 5.9964, 5.9964, 5.9964 Å; angles 141.06, 117.84, 75.83 degrees
Element x y z (fractional)
As 0.1950 0.6950 0.5000
As 0.0366 0.0366 0.0000
Br 0.7722 0.2722 0.5000
Ba 0.4962 0.4962 0.0000

* Fermi-level density of states: 1.059 states/eV per cell
* space group: Imm2, No. 44
* crystal system: orthorhombic

Entry 4:
Crystalline BaAsBr at its relaxed geometry. Source: the Alexandria database, functional PBE.

Cell lengths 4.5518, 4.1870, 10.0797 Å; angles 90.00, 92.36, 90.00 degrees
Element x y z (fractional)
Ba 0.7266 0.7500 0.7597
Ba 0.2734 0.2500 0.2403
Br 0.2381 0.2500 0.8808
Br 0.7619 0.7500 0.1192
As 0.8235 0.2500 0.4918
As 0.1765 0.7500 0.5082

* Fermi-level density of states: 0.776 states/eV per cell
* space group: P2_1/m, No. 11
* crystal system: monoclinic

Entry 5:
Crystalline BaAsBr2 at its relaxed geometry. Source: the Alexandria database, functional PBE.

Cell lengths 8.4230, 8.4230, 8.4230 Å; angles 149.93, 151.47, 41.93 degrees
Element x y z (fractional)
Br 0.7696 0.2696 0.5000
Br 0.0246 0.0246 0.0000
As 0.5168 0.5168 0.0000
Ba 0.1890 0.6890 0.5000

* Fermi-level density of states: 1.502 states/eV per cell
* space group: Imm2, No. 44
* crystal system: orthorhombic

Entry 6:
Crystalline BaAsBr at its relaxed geometry. Source: the Alexandria database, functional PBE.

Cell lengths 5.5560, 5.5560, 5.5560 Å; angles 60.00, 60.00, 60.00 degrees
Element x y z (fractional)
Br 0.0000 0.0000 0.0000
Ba 0.7500 0.7500 0.7500
As 0.5000 0.5000 0.5000

* Fermi-level density of states: 3.703 states/eV per cell
* space group: F-43m, No. 216
* crystal system: cubic

Entry 7:
Crystalline BaAsBr at its relaxed geometry. Source: the Alexandria database, functional PBE.

Cell lengths 4.6472, 4.7571, 11.9789 Å; angles 100.69, 90.14, 119.16 degrees
Element x y z (fractional)
As 0.0233 0.2507 0.6281
As 0.3916 0.9880 0.6514
Br 0.4972 0.1979 0.9934
Br 0.2601 0.7304 0.2910
Ba 0.6360 0.4795 0.4378
Ba 0.7799 0.7638 0.8427

* space group: P1, No. 1
* crystal system: triclinic

Entry 8:
Crystalline BaAsBr3 at its relaxed geometry. Source: the Alexandria database, functional PBE.

Cell lengths 6.3263, 6.3263, 6.3263 Å; angles 90.00, 90.00, 90.00 degrees
Element x y z (fractional)
As 0.5000 0.5000 0.5000
Br 0.5000 0.0000 0.0000
Br 0.0000 0.0000 0.5000
Br 0.0000 0.5000 0.0000
Ba 0.0000 0.0000 0.0000

* Fermi-level density of states: 10.346 states/eV per cell
* space group: Pm-3m, No. 221
* crystal system: cubic

| no. | E (eV per atom) |
| --- | --- |
| 1 | -3.58 |
| 2 | -3.25 |
| 3 | -4.07 |
| 4 | -4.22 |
| 5 | -3.43 |
| 6 | -3.49 |
| 7 | -4.16 |
| 8 | -2.89 |